(1)
# Bi2AsAu2, optimized geometry, DFT PBE
data_Bi2AsAu2
_cell_length_a 7.441
_cell_length_b 7.441
_cell_length_c 4.374
_cell_angle_alpha 90.00
_cell_angle_beta 90.00
_cell_angle_gamma 90.00
_space_group_name_H-M_alt 'P 4/m b m'
_space_group_IT_number 127
_space_group_name_Hall '-P 4 2ab'
loop_
_atom_site_label
_atom_site_fract_x
_atom_site_fract_y
_atom_site_fract_z
Bi1 0.172 0.328 0.000
As1 0.000 0.000 0.500
Au1 0.136 0.636 0.500
# * calculated formation energy: 0.1054 eV/atom
# * spin magnetization: 0.00 μB per formula unit
# * polymorph energy (0 for the lowest one): 0 meV/atom

(2)
# Bi2AsAu2, optimized geometry, DFT PBE
data_Bi2AsAu2
_cell_length_a 8.555
_cell_length_b 8.555
_cell_length_c 3.451
_cell_angle_alpha 90.00
_cell_angle_beta 90.00
_cell_angle_gamma 90.00
_space_group_name_H-M_alt 'P 4/m b m'
_space_group_IT_number 127
_space_group_name_Hall '-P 4 2ab'
loop_
_atom_site_label
_atom_site_fract_x
_atom_site_fract_y
_atom_site_fract_z
Bi1 0.193 0.307 0.000
As1 0.000 0.000 0.000
Au1 0.114 0.614 0.500
# * calculated formation energy: 0.1848 eV/atom
# * spin magnetization: 0.00 μB per formula unit
# * polymorph energy (0 for the lowest one): 79 meV/atom

(3)
# Bi2As2Au, optimized geometry, DFT PBE
data_Bi2As2Au
_cell_length_a 7.854
_cell_length_b 7.854
_cell_length_c 4.096
_cell_angle_alpha 90.00
_cell_angle_beta 90.00
_cell_angle_gamma 90.00
_space_group_name_H-M_alt 'P 4/m b m'
_space_group_IT_number 127
_space_group_name_Hall '-P 4 2ab'
loop_
_atom_site_label
_atom_site_fract_x
_atom_site_fract_y
_atom_site_fract_z
Bi1 0.158 0.342 0.000
As1 0.165 0.665 0.500
Au1 0.000 0.000 0.500
# * calculated formation energy: 0.2346 eV/atom
# * spin magnetization: 0.00 μB per formula unit
# * polymorph energy (0 for the lowest one): 125 meV/atom

What is the polymorph energy (0 for the lowest one) in the second record? 79 meV/atom